(1)
Material: TbPrTm2Hg4
Method: DFT, PBE-GGA
State: relaxed

Cell lengths 9.2035, 9.2035, 9.2035 Å; angles 33.36, 33.36, 33.36 degrees
With the nearest neighbours (Å) after each atom.
Fractional positions:
Tb 0.0000 0.0000 0.0000  8 Hg 3.18-3.22
Pr 0.5000 0.5000 0.5000  8 Hg 3.26-3.32
Tm 0.2508 0.2508 0.2508  8 Hg 3.18-3.35
Tm 0.7492 0.7492 0.7492  8 Hg 3.18-3.35
Hg 0.1221 0.1221 0.1221  1 Tb 3.18, 4 Tm 3.22-3.35, 3 Pr 3.26
Hg 0.3727 0.3727 0.3727  4 Tm 3.18-3.25, 3 Tb 3.22, 1 Pr 3.32
Hg 0.6273 0.6273 0.6273  4 Tm 3.18-3.25, 3 Tb 3.22, 1 Pr 3.32
Hg 0.8779 0.8779 0.8779  1 Tb 3.18, 4 Tm 3.22-3.35, 3 Pr 3.26

## Properties
Total energy ... -2.91 eV/atom
Density of states at the Fermi level ... 0.9946 states/eV/atom
SG ... No. 166

(2)
Material: CuSnIr2Os
Method: DFT, PBE-GGA
State: relaxed

Cell lengths 4.8525, 4.8525, 4.8886 Å; angles 90.00, 90.00, 90.00 degrees
With the nearest neighbours (Å) after each atom.
Fractional positions:
Cu 0.0000 0.0000 0.0000  4 Os 3.43, 8 Ir 3.44
Sn 0.5000 0.5000 0.5000  4 Ir 2.43, 2 Os 2.44
Ir 0.0000 0.5000 0.5000  2 Sn 2.43
Ir 0.5000 0.0000 0.5000  2 Sn 2.43
Os 0.5000 0.5000 0.0000  2 Sn 2.44

## Properties
Total energy ... -5.11 eV/atom
Density of states at the Fermi level ... 1.2252 states/eV/atom
SG ... No. 123

(3)
Material: PmMgSnBi
Method: DFT, PBE-GGA
State: relaxed

Cell lengths 7.6664, 7.6664, 7.6664 Å; angles 90.00, 90.00, 90.00 degrees
With the nearest neighbours (Å) after each atom.
Fractional positions:
Pm 0.0000 0.0000 0.0000  4 Bi 3.32, 4 Sn 3.32
Pm 0.0000 0.5000 0.5000  4 Bi 3.32, 4 Sn 3.32
Pm 0.5000 0.0000 0.5000  4 Bi 3.32, 4 Sn 3.32
Pm 0.5000 0.5000 0.0000  4 Bi 3.32, 4 Sn 3.32
Mg 0.0000 0.0000 0.5000  4 Sn 3.32, 4 Bi 3.32
Mg 0.0000 0.5000 0.0000  4 Sn 3.32, 4 Bi 3.32
Mg 0.5000 0.0000 0.0000  4 Sn 3.32, 4 Bi 3.32
Mg 0.5000 0.5000 0.5000  4 Sn 3.32, 4 Bi 3.32
Sn 0.2500 0.2500 0.7500  4 Mg 3.32, 4 Pm 3.32
Sn 0.2500 0.7500 0.2500  4 Mg 3.32, 4 Pm 3.32
Sn 0.7500 0.2500 0.2500  4 Mg 3.32, 4 Pm 3.32
Sn 0.7500 0.7500 0.7500  4 Mg 3.32, 4 Pm 3.32
Bi 0.2500 0.2500 0.2500  4 Mg 3.32, 4 Pm 3.32
Bi 0.2500 0.7500 0.7500  4 Mg 3.32, 4 Pm 3.32
Bi 0.7500 0.2500 0.7500  4 Mg 3.32, 4 Pm 3.32
Bi 0.7500 0.7500 0.2500  4 Mg 3.32, 4 Pm 3.32

## Properties
Total energy ... -3.87 eV/atom
Density of states at the Fermi level ... 1.0662 states/eV/atom
SG ... No. 216

Please write out number 1 again, unchanged.
Material: TbPrTm2Hg4
Method: DFT, PBE-GGA
State: relaxed

Cell lengths 9.2035, 9.2035, 9.2035 Å; angles 33.36, 33.36, 33.36 degrees
With the nearest neighbours (Å) after each atom.
Fractional positions:
Tb 0.0000 0.0000 0.0000  8 Hg 3.18-3.22
Pr 0.5000 0.5000 0.5000  8 Hg 3.26-3.32
Tm 0.2508 0.2508 0.2508  8 Hg 3.18-3.35
Tm 0.7492 0.7492 0.7492  8 Hg 3.18-3.35
Hg 0.1221 0.1221 0.1221  1 Tb 3.18, 4 Tm 3.22-3.35, 3 Pr 3.26
Hg 0.3727 0.3727 0.3727  4 Tm 3.18-3.25, 3 Tb 3.22, 1 Pr 3.32
Hg 0.6273 0.6273 0.6273  4 Tm 3.18-3.25, 3 Tb 3.22, 1 Pr 3.32
Hg 0.8779 0.8779 0.8779  1 Tb 3.18, 4 Tm 3.22-3.35, 3 Pr 3.26

## Properties
Total energy ... -2.91 eV/atom
Density of states at the Fermi level ... 0.9946 states/eV/atom
SG ... No. 166

Question: Which value of density of states at the Fermi level does entry 3 give?
Answer: 1.0662 states/eV/atom